1.
This record from the Alexandria database describes a relaxed TbEr4Sc crystal. The functional is PBE.

Values from the calculation:
As for the magnetic moment: 0.0 Bohr magnetons per cell. For the energy above the most stable polymorph in this dataset, the calculation gives 0.0 meV/atom. The total energy comes out at -4.727 eV/atom.

Cell: 8.400 8.400 6.232 Å, 100.28 100.28 117.59°
Atoms (fractional coordinates):
Tb 0.087 0.913 0.750
Tb 0.913 0.087 0.250
Er 0.084 0.333 0.876
Er 0.211 0.597 0.462
Er 0.333 0.084 0.376
Er 0.403 0.789 0.038
Er 0.597 0.211 0.962
Er 0.667 0.916 0.624
Er 0.789 0.403 0.538
Er 0.916 0.667 0.124
Sc 0.500 0.500 0.250
Sc 0.500 0.500 0.750



2.
This record from the Alexandria database describes a relaxed Tb2ErSc7 crystal. The functional is PBE.

Values from the calculation:
As for the magnetic moment: 0.0 Bohr magnetons per cell. For the energy above the most stable polymorph in this dataset, the calculation gives 0.0 meV/atom. The total energy comes out at -5.666 eV/atom.

Cell: 13.887 13.887 3.318 Å, 90.00 90.00 154.88°
Atoms (fractional coordinates):
Tb 0.210 0.790 0.000
Tb 0.790 0.210 0.000
Er 0.500 0.500 0.500
Sc 0.000 0.000 0.000
Sc 0.156 0.352 0.000
Sc 0.318 0.682 0.500
Sc 0.352 0.156 0.000
Sc 0.648 0.844 0.000
Sc 0.682 0.318 0.500
Sc 0.844 0.648 0.000